## MgInSb2 (GGA-PBEsol)

Data for crystalline MgInSb2 at its relaxed geometry.

The calculation puts the mass density at 6.01 g cm⁻³. The value obtained for the magnetic moment is 0.000 Bohr magnetons per cell. The calculation puts the density of states at the Fermi level at 2.4 states/eV per cell. The energy relative to the elements, uncorrected comes out at -0.0712 eV/atom.

It has space group P4mm (No. 99), with a = 4.2114 Å, b = 4.2114 Å, c = 5.9626 Å, α = 90.00°, β = 90.00° and γ = 90.00°. The asymmetric unit holds Mg at (0.0000, 0.0000, 0.0000), In at (0.5000, 0.5000, 0.5306), Sb at (0.0000, 0.0000, 0.4994) and Sb at (0.5000, 0.5000, 0.0259).

## BaGa2Au2 (GGA-PBEsol)

Data for crystalline BaGa2Au2 at its relaxed geometry.

The calculation puts the mass density at 9.92 g cm⁻³. The value obtained for the magnetic moment is 0.000 Bohr magnetons per cell. As for the energy of formation from the pure elements: -2.9 eV/f.u. The calculation puts the density of states at the Fermi level at 5.8 states/eV per cell.

It has space group I4/mmm (No. 139), with a = 4.5379 Å, b = 4.5379 Å, c = 10.9068 Å, α = 90.00°, β = 90.00° and γ = 90.00°. The asymmetric unit holds Ba at (0.0000, 0.0000, 0.0000), Ga at (0.0000, 0.5000, 0.2500) and Au at (0.0000, 0.0000, 0.3698).

## HfTc3As (GGA-PBEsol)

Data for crystalline HfTc3As at its relaxed geometry.

The calculation puts the mass density at 10.22 g cm⁻³. The value obtained for the magnetic moment is 0.001 Bohr magnetons per cell. As for the energy of formation from the pure elements: 3.1 eV/f.u. The calculation puts the density of states at the Fermi level at 7.3 states/eV per cell.

It has space group Pm-3m (No. 221), with a = 4.4637 Å, b = 4.4637 Å, c = 4.4637 Å, α = 90.00°, β = 90.00° and γ = 90.00°. The asymmetric unit holds Hf at (0.0000, 0.0000, 0.0000), Tc at (0.0000, 0.5000, 0.5000) and As at (0.5000, 0.5000, 0.5000).

Look up the magnetic moment of the third one. 0.001 Bohr magnetons per cell